First-principles (GGA+U) data for crystalline ErMn3B4O12 at its relaxed geometry, as listed in Alexandria.

Space-group type: R32, No. 155
Mass density in g cm⁻³: 4.5
Total energy in eV/atom: -7.895

a = 6.1374 Å, b = 6.1374 Å, c = 6.1374 Å
α = 103.56°, β = 103.56°, γ = 103.56°
Fractional coordinates of all 20 atoms:
Er 0.0000 0.0000 0.0000
Mn 0.0000 0.5454 0.4546
Mn 0.4546 0.0000 0.5454
Mn 0.5454 0.4546 0.0000
B 0.0471 0.5000 0.9529
B 0.5000 0.5000 0.5000
B 0.5000 0.9529 0.0471
B 0.9529 0.0471 0.5000
O 0.0255 0.6362 0.8040
O 0.0969 0.9031 0.5000
O 0.1960 0.3638 0.9745
O 0.3567 0.6433 0.5000
O 0.3638 0.9745 0.1960
O 0.5000 0.0969 0.9031
O 0.5000 0.3567 0.6433
O 0.6362 0.8040 0.0255
O 0.6433 0.5000 0.3567
O 0.8040 0.0255 0.6362
O 0.9031 0.5000 0.0969
O 0.9745 0.1960 0.3638